This record from the Alexandria database describes a relaxed structure of CuSe8. The functional is PBEsol.

Geometry as POSCAR:
```
CuSe8
1.0
-3.400 1.217 0.675
-1.453 -2.799 7.724
1.373 7.490 3.409
Se Cu
8 1
direct
0.320 0.000 0.359
0.680 0.000 0.641
0.680 0.641 0.000
0.796 0.204 0.204
0.320 0.359 0.000
0.000 0.204 0.796
0.204 0.796 0.796
0.000 0.796 0.204
0.000 0.000 0.000
```

M_tot: 0.00 μB per cell
Formation energy from raw total energies: 0.2213 eV per atom